Record 1
# NaTl12Pb6 PBE optimized geometry
# Formation energy: 33 meV/atom
data_NaTl12Pb6
_chemical_formula_sum 'Na3 Tl36 Pb18'
_cell_length_a 13.5408
_cell_length_b 13.5408
_cell_length_c 11.3352
_cell_angle_alpha 90.00
_cell_angle_beta 90.00
_cell_angle_gamma 120.00
_symmetry_space_group_name_H-M 'R -3'
_symmetry_Int_Tables_number 148
_symmetry_space_group_name_Hall '-R 3'
loop_
_atom_site_label
_atom_site_type_symbol
_atom_site_fract_x
_atom_site_fract_y
_atom_site_fract_z
_atom_site_occupancy
Na1 Na 0.0000 0.0000 0.0000 1
Tl1 Tl 0.9998 0.2597 0.9998 1
Tl2 Tl 0.0709 0.5361 0.1184 1
Pb1 Pb 0.0820 0.9170 0.7461 1



Record 2
# Sm2Pd15Au2 PBE optimized geometry
# Formation energy: -326 meV/atom
data_Sm2Pd15Au2
_chemical_formula_sum 'Sm6 Pd45 Au6'
_cell_length_a 9.2022
_cell_length_b 9.2022
_cell_length_c 13.6577
_cell_angle_alpha 90.00
_cell_angle_beta 90.00
_cell_angle_gamma 120.00
_symmetry_space_group_name_H-M 'R -3 m'
_symmetry_Int_Tables_number 166
_symmetry_space_group_name_Hall '-R 3 2"'
loop_
_atom_site_label
_atom_site_type_symbol
_atom_site_fract_x
_atom_site_fract_y
_atom_site_fract_z
_atom_site_occupancy
Sm1 Sm 0.0000 0.0000 0.1609 1
Pd1 Pd 0.0000 0.3090 0.5000 1
Pd2 Pd 0.0000 0.5000 0.0000 1
Pd3 Pd 0.0061 0.5031 0.6551 1
Au1 Au 0.0000 0.0000 0.3979 1



Record 3
# Rb2TlSnBr6 PBE optimized geometry
# Uncorrected formation energy: -1.157 eV per atom
data_Rb2TlSnBr6
_chemical_formula_sum 'Rb4 Tl2 Sn2 Br12'
_cell_length_a 8.0208
_cell_length_b 8.4545
_cell_length_c 14.0605
_cell_angle_alpha 90.00
_cell_angle_beta 124.62
_cell_angle_gamma 90.00
_symmetry_space_group_name_H-M 'P 1 21/c 1'
_symmetry_Int_Tables_number 14
loop_
_symmetry_equiv_pos_as_xyz
'x,y,z'
'-x,-y,-z'
'-x,y+1/2,-z+1/2'
'x,-y+1/2,z+1/2'
loop_
_atom_site_label
_atom_site_type_symbol
_atom_site_fract_x
_atom_site_fract_y
_atom_site_fract_z
_atom_site_occupancy
Rb1 Rb 0.2242 0.0740 0.2490 1
Tl1 Tl 0.5000 0.0000 0.0000 1
Sn1 Sn 0.0000 0.0000 0.5000 1
Br1 Br 0.1279 0.2188 0.9489 1
Br2 Br 0.2364 0.6843 0.9508 1
Br3 Br 0.3303 0.0249 0.7332 1



Record 4
# Pr6Y3Tm2 PBE optimized geometry
# Formation energy: 299 meV/atom
data_Pr6Y3Tm2
_chemical_formula_sum 'Pr12 Y6 Tm4'
_cell_length_a 4.8336
_cell_length_b 4.8336
_cell_length_c 33.7285
_cell_angle_alpha 90.00
_cell_angle_beta 90.00
_cell_angle_gamma 90.00
_symmetry_space_group_name_H-M 'I 4/m m m'
_symmetry_Int_Tables_number 139
_symmetry_space_group_name_Hall '-I 4 2'
loop_
_atom_site_label
_atom_site_type_symbol
_atom_site_fract_x
_atom_site_fract_y
_atom_site_fract_z
_atom_site_occupancy
Pr1 Pr 0.0000 0.0000 0.1959 1
Pr2 Pr 0.0000 0.5000 0.1184 1
Y1 Y 0.0000 0.0000 0.2991 1
Y2 Y 0.0000 0.0000 0.5000 1
Tm1 Tm 0.0000 0.0000 0.0448 1



Record 5
# Rb2Cd4Ag PBE optimized geometry
# Formation energy: 57 meV/atom
data_Rb2Cd4Ag
_chemical_formula_sum 'Rb4 Cd8 Ag2'
_cell_length_a 5.4567
_cell_length_b 5.4567
_cell_length_c 18.8213
_cell_angle_alpha 90.00
_cell_angle_beta 90.00
_cell_angle_gamma 90.00
_symmetry_space_group_name_H-M 'I 4/m m m'
_symmetry_Int_Tables_number 139
_symmetry_space_group_name_Hall '-I 4 2'
loop_
_atom_site_label
_atom_site_type_symbol
_atom_site_fract_x
_atom_site_fract_y
_atom_site_fract_z
_atom_site_occupancy
Rb1 Rb 0.0000 0.0000 0.1504 1
Cd1 Cd 0.0000 0.0000 0.3523 1
Cd2 Cd 0.0000 0.5000 0.0000 1
Ag1 Ag 0.0000 0.0000 0.5000 1



Record 6
# Fe2SnSbN PBE optimized geometry
# Uncorrected formation energy: 0.722 eV per atom
data_Fe2SnSbN
_chemical_formula_sum 'Fe2 Sn1 Sb1 N1'
_cell_length_a 3.9636
_cell_length_b 3.9636
_cell_length_c 4.8916
_cell_angle_alpha 90.00
_cell_angle_beta 90.00
_cell_angle_gamma 90.00
_symmetry_space_group_name_H-M 'P 4/m m m'
_symmetry_Int_Tables_number 123
_symmetry_space_group_name_Hall '-P 4 2'
loop_
_atom_site_label
_atom_site_type_symbol
_atom_site_fract_x
_atom_site_fract_y
_atom_site_fract_z
_atom_site_occupancy
Fe1 Fe 0.0000 0.5000 0.0000 1
Sn1 Sn 0.0000 0.0000 0.5000 1
Sb1 Sb 0.5000 0.5000 0.5000 1
N1 N 0.5000 0.5000 0.0000 1



Number 1: E -2.70 eV per atom. Number 2: E -5.27 eV per atom. Number 3: E -2.99 eV per atom. Number 4: E -4.88 eV per atom. Number 5: E -1.15 eV per atom. Number 6: E -5.95 eV per atom.